(1)
Pr3Sm2Ho6: optimized geometry, PBE-GGA.

Cell and atoms, written as extended XYZ:
```
11
Lattice="-4.5381 4.1707 -0.5964 -5.9267 -1.8224 0.2065 -1.6090 2.9493 11.1759" Properties=species:S:1:pos:R:3 pbc="T T T"
Sm -5.5146 0.9520 5.6266
Ho -7.0512 2.7298 8.2390
Sm -6.5592 4.3456 5.1594
Ho -5.0226 2.5678 2.5470
Ho -3.5597 1.9504 8.3685
Pr 0.0000 0.0000 0.0000
Pr -6.9949 1.5460 -0.2574
Ho -4.6079 5.3342 7.9071
Pr -3.4700 0.8023 -0.1325
Ho -8.5141 3.3472 2.4174
Ho -1.5392 1.7858 2.6724
```

Results
* total moment: 0.003 μB/f.u.
* relative energy among the computed polymorphs: 0 meV per atom
* D(E_F): 16.74 states/eV per cell
* crystal system: monoclinic
* theoretical density: 7.442 g/cm3


(2)
GaSeSBr2: optimized geometry, PBE-GGA.

Cell and atoms, written as extended XYZ:
```
5
Lattice="-4.5286 0.6451 -2.0058 1.6005 -2.0393 -4.2693 -1.4725 -4.8503 1.7648" Properties=species:S:1:pos:R:3 pbc="T T T"
Se -0.7363 -2.4251 0.8824
Ga 0.0000 0.0000 0.0000
S -2.2003 -3.1223 -2.2552
Br -2.2643 0.3225 -1.0029
Br 0.8002 -1.0196 -2.1347
```

Results
* total moment: 1.267 μB/f.u.
* uncorrected formation energy: 38.82 kJ/mol of atoms
* relative energy among the computed polymorphs: 225 meV per atom
* D(E_F): 3.19 states/eV per cell
* crystal system: tetragonal
* theoretical density: 4.223 g/cm3


(3)
ErH3Ru: optimized geometry, PBE-GGA.

Cell and atoms, written as extended XYZ:
```
5
Lattice="3.6264 0.0000 0.0000 0.0000 3.6264 0.0000 0.0000 0.0000 3.6264" Properties=species:S:1:pos:R:3 pbc="T T T"
Er 1.8132 1.8132 1.8132
H 1.8132 0.0000 0.0000
Ru 0.0000 0.0000 0.0000
H 0.0000 0.0000 1.8132
H 0.0000 1.8132 0.0000
```

Results
* total moment: 0.682 μB/f.u.
* raw total energy: -5.2203 eV/atom
* D(E_F): 2.81 states/eV per cell
* crystal system: cubic
* theoretical density: 9.448 g/cm3


(4)
Ba2MnTePt: optimized geometry, PBE-GGA.

Cell and atoms, written as extended XYZ:
```
5
Lattice="6.1264 0.0000 0.0000 0.0000 6.1264 0.0000 0.0000 0.0000 4.9323" Properties=species:S:1:pos:R:3 pbc="T T T"
Pt 0.0000 0.0000 0.0000
Te 3.0632 3.0632 2.4662
Mn 0.0000 0.0000 2.4662
Ba 0.0000 3.0632 0.0000
Ba 3.0632 0.0000 0.0000
```

Results
* total moment: 4.333 μB/f.u.
* uncorrected formation energy: -58.05 kJ/mol of atoms
* D(E_F): 2.67 states/eV per cell
* crystal system: tetragonal
* theoretical density: 5.851 g/cm3


(5)
LaNd2ThAs4: optimized geometry, PBE-GGA.

Cell and atoms, written as extended XYZ:
```
8
Lattice="4.2931 0.0000 0.0000 0.0000 7.4170 -0.1441 0.0000 2.6128 6.9657" Properties=species:S:1:pos:R:3 pbc="T T T"
Nd 2.1466 1.3064 3.4828
As 2.1466 3.8133 5.1569
As 2.1466 6.2165 1.6646
La 2.1466 3.7085 -0.0721
Nd 0.0000 2.6128 6.9657
As 0.0001 7.5136 5.0818
Th 0.0000 5.0149 3.4108
As 4.2931 2.5162 1.7397
```

Results
* total moment: 0.000 μB/f.u.
* raw total energy: -6.5858 eV/atom
* D(E_F): 1.65 states/eV per cell
* crystal system: monoclinic
* theoretical density: 7.129 g/cm3


(6)
Li2Zn2Sn: optimized geometry, PBE-GGA.

Cell and atoms, written as extended XYZ:
```
5
Lattice="-0.3404 -3.1983 2.0462 2.7983 1.1772 2.3056 -3.1694 1.9167 6.0195" Properties=species:S:1:pos:R:3 pbc="T T T"
Li -1.1405 -1.1461 5.1208
Sn 0.0000 0.0000 0.0000
Li 0.4289 1.0417 5.2505
Zn -1.0305 0.3006 7.4003
Zn 0.3190 -0.4049 2.9711
```

Results
* total moment: 0.000 μB/f.u.
* relative energy among the computed polymorphs: 211 meV per atom
* D(E_F): 1.54 states/eV per cell
* crystal system: tetragonal
* theoretical density: 4.607 g/cm3